# Th3NpPd12 | Alexandria | PBE-GGA | relaxed
data_Th3NpPd12
_symmetry_space_group_name_H-M 'P 4/m m m'
_symmetry_Int_Tables_number 123
_symmetry_space_group_name_Hall '-P 4 2'
_cell_length_a 4.2048
_cell_length_b 4.2048
_cell_length_c 16.8403
_cell_angle_alpha 90.00
_cell_angle_beta 90.00
_cell_angle_gamma 90.00
loop_
_atom_site_label
_atom_site_type_symbol
_atom_site_fract_x
_atom_site_fract_y
_atom_site_fract_z
Th1 Th 0.0000 0.0000 0.0000
Th2 Th 0.0000 0.0000 0.2533
Np1 Np 0.0000 0.0000 0.5000
Pd1 Pd 0.0000 0.5000 0.1251
Pd2 Pd 0.0000 0.5000 0.3746
Pd3 Pd 0.5000 0.5000 0.0000
Pd4 Pd 0.5000 0.5000 0.2492
Pd5 Pd 0.5000 0.5000 0.5000
# Total magnetization (μB/atom): 0.244
# Formation energy from the elements (kJ per mole of atoms): -78
# Density (g/cm3): 12.326